# NaGe2WO, PBEsol geometry, DFT meta-GGA SCAN
data_NaGe2WO
_chemical_formula_sum 'Na1 Ge2 W1 O1'
_cell_length_a 4.6897
_cell_length_b 4.6897
_cell_length_c 4.8708
_cell_angle_alpha 90.00
_cell_angle_beta 90.00
_cell_angle_gamma 90.00
_space_group_name_H-M_alt 'P 4/m m m'
_space_group_IT_number 123
_space_group_name_Hall '-P 4 2'
loop_
_atom_site_label
_atom_site_fract_x
_atom_site_fract_y
_atom_site_fract_z
Na1 0.0000 0.0000 0.0000
Ge1 0.0000 0.5000 0.0000
W1 0.0000 0.0000 0.5000
O1 0.5000 0.5000 0.5000
# magnetic moment	1.725	μB per formula unit
# formation energy without anion corrections	2490	meV per atom
# DFT total energy	-21.17	eV per atom

# Tl2AgSn2, PBEsol geometry, DFT meta-GGA SCAN
data_Tl2AgSn2
_chemical_formula_sum 'Tl4 Ag2 Sn4'
_cell_length_a 7.2051
_cell_length_b 7.2051
_cell_length_c 5.0959
_cell_angle_alpha 90.00
_cell_angle_beta 90.00
_cell_angle_gamma 90.00
_space_group_name_H-M_alt 'P 4/m b m'
_space_group_IT_number 127
_space_group_name_Hall '-P 4 2ab'
loop_
_atom_site_label
_atom_site_fract_x
_atom_site_fract_y
_atom_site_fract_z
Tl1 0.1667 0.3333 0.0000
Ag1 0.0000 0.0000 0.5000
Sn1 0.1456 0.6456 0.5000
# magnetic moment	0.000	μB per formula unit
# DFT formation energy	0.12	eV/atom
# DFT total energy	-49.47	eV per atom
# ΔE to the lowest computed polymorph	0	meV per atom

# Li5Cr4O8, PBEsol geometry, DFT meta-GGA SCAN
data_Li5Cr4O8
_chemical_formula_sum 'Li10 Cr8 O16'
_cell_length_a 5.8377
_cell_length_b 5.8377
_cell_length_c 8.2682
_cell_angle_alpha 90.00
_cell_angle_beta 90.00
_cell_angle_gamma 90.00
_space_group_name_H-M_alt 'I -4 m 2'
_space_group_IT_number 119
_space_group_name_Hall 'I -4 -2'
loop_
_atom_site_label
_atom_site_fract_x
_atom_site_fract_y
_atom_site_fract_z
Li1 0.0000 0.0000 0.0000
Li2 0.0000 0.2892 0.1452
Cr1 0.0000 0.2501 0.6250
O1 0.0000 0.2367 0.3819
O2 0.0000 0.2620 0.8686
# magnetic moment	11.000	μB per formula unit
# formation energy without anion corrections	-2313	meV per atom
# DFT total energy	-10.27	eV per atom

# Sr2ZnGa, PBEsol geometry, DFT meta-GGA SCAN
data_Sr2ZnGa
_chemical_formula_sum 'Sr8 Zn4 Ga4'
_cell_length_a 7.6461
_cell_length_b 7.6461
_cell_length_c 7.6461
_cell_angle_alpha 90.00
_cell_angle_beta 90.00
_cell_angle_gamma 90.00
_space_group_name_H-M_alt 'F m -3 m'
_space_group_IT_number 225
_space_group_name_Hall '-F 4 2 3'
loop_
_atom_site_label
_atom_site_fract_x
_atom_site_fract_y
_atom_site_fract_z
Sr1 0.2500 0.2500 0.2500
Zn1 0.0000 0.0000 0.0000
Ga1 0.0000 0.0000 0.5000
# magnetic moment	0.000	μB per formula unit
# DFT formation energy	-0.31	eV/atom
# DFT total energy	-18.91	eV per atom